Density functional theory data (PBE) for a relaxed structure of IrPbBr.

The structure in extended XYZ format:
```
3
Lattice="4.175 0.000 0.000 -2.087 3.615 0.000 0.000 0.000 5.457" Properties=species:S:1:pos:R:3 pbc="T T T"
Ir 0.000 0.000 0.000
Pb 0.000 2.410 1.070
Br 2.087 1.205 3.987
```

The uncorrected formation energy comes out at 98 kJ/mol of formula units. Its total DFT energy (no corrections) is -13.23 eV/cell. The total moment comes out at 0.0000 μB per atom. The value obtained for the energy above the most stable polymorph in this dataset is 0 meV/atom.

---

Density functional theory data (PBE) for a relaxed structure of BeSn2SeI.

The structure in extended XYZ format:
```
5
Lattice="5.912 0.000 0.000 0.000 5.912 0.000 0.000 0.000 5.529" Properties=species:S:1:pos:R:3 pbc="T T T"
Be 0.000 0.000 0.000
Sn 0.000 2.956 2.765
Sn 2.956 0.000 2.765
Se 2.956 2.956 0.000
I 2.956 2.956 2.765
```

The uncorrected formation energy comes out at 616 kJ/mol of formula units. Its total DFT energy (no corrections) is -10.38 eV/cell. The total moment comes out at 0.0000 μB per atom.

---

Density functional theory data (PBE) for a relaxed structure of LaNiBi3.

The structure in extended XYZ format:
```
5
Lattice="6.119 0.000 0.000 0.000 6.119 0.000 0.000 0.000 6.119" Properties=species:S:1:pos:R:3 pbc="T T T"
La 0.000 0.000 0.000
Ni 3.059 3.059 3.059
Bi 0.000 0.000 3.059
Bi 0.000 3.059 0.000
Bi 3.059 0.000 0.000
```

For the calculated formation energy, the calculation gives 1.1387 eV/atom. Its total DFT energy (no corrections) is -16.66 eV/cell. The total moment comes out at 0.0018 μB per atom.

---

Density functional theory data (PBE) for a relaxed structure of PuFe2BC.

The structure in extended XYZ format:
```
10
Lattice="1.734 -5.072 0.000 1.734 5.072 0.000 0.000 0.000 6.623" Properties=species:S:1:pos:R:3 pbc="T T T"
Pu 1.734 4.620 4.967
Pu 1.734 -4.620 1.656
Fe 1.734 1.819 3.726
Fe 1.734 1.819 6.208
Fe 1.734 -1.819 0.415
Fe 1.734 -1.819 2.897
B 1.734 2.722 1.656
B 1.734 -2.722 4.967
C 1.734 0.000 0.000
C 1.734 0.000 3.311
```

For the calculated formation energy, the calculation gives -0.1529 eV/atom. Its total DFT energy (no corrections) is -95.85 eV/cell. The total moment comes out at 1.4012 μB per atom.

---

Density functional theory data (PBE) for a relaxed structure of Tm3MgIr8.

The structure in extended XYZ format:
```
12
Lattice="2.651 1.531 8.667 -2.651 1.531 8.667 0.000 -3.062 8.667" Properties=species:S:1:pos:R:3 pbc="T T T"
Tm 0.000 0.000 0.000
Tm 0.000 0.000 3.308
Tm 0.000 0.000 13.160
Mg 0.000 0.000 16.360
Ir -1.326 -0.766 10.358
Ir 0.000 -1.528 6.037
Ir -1.323 0.764 6.037
Ir 0.000 0.000 8.193
Ir 1.326 -0.766 10.358
Ir 1.323 0.764 6.037
Ir 0.000 1.532 10.358
Ir 0.000 0.000 21.198
```

For the calculated formation energy, the calculation gives -0.6935 eV/atom. Its total DFT energy (no corrections) is -94.22 eV/cell. The total moment comes out at 0.0000 μB per atom.

---

Density functional theory data (PBE) for a relaxed structure of Pm6ThTl3.

The structure in extended XYZ format:
```
20
Lattice="10.191 0.000 0.000 0.000 5.333 0.000 -2.201 0.000 11.372" Properties=species:S:1:pos:R:3 pbc="T T T"
Pm -0.414 1.333 4.584
Pm 1.051 4.000 2.201
Pm 0.187 1.333 11.145
Pm 1.552 4.000 8.965
Pm 3.121 1.333 3.102
Pm 3.084 1.333 6.783
Pm 4.906 4.000 4.589
Pm 4.869 4.000 8.270
Pm 6.438 1.333 2.407
Pm 7.803 4.000 0.227
Pm 6.939 1.333 9.171
Pm 8.404 4.000 6.788
Th 4.425 4.000 1.058
Th 3.565 1.333 10.314
Tl -1.571 4.000 10.160
Tl -0.067 1.333 7.850
Tl 1.619 4.000 5.444
Tl 6.371 1.333 5.928
Tl 8.057 4.000 3.522
Tl 9.561 1.333 1.212
```

For the calculated formation energy, the calculation gives -0.2136 eV/atom. Its total DFT energy (no corrections) is -90.32 eV/cell. The total moment comes out at 0.0000 μB per atom.